The following is a DFT calculation (PBE with a Hubbard U) of a relaxed Rb2YVF6 crystal.

Output
Density of states at the Fermi level = 6.47 states/eV/cell
Space-group type = No. 139
Electronic total energy = -5.6620 eV per atom
Total magnetization = 4.0 μB/f.u.
Theoretical density = 3.49 g/cm3

Cell: 6.935 6.935 6.935 Å, 127.77 127.77 77.00°
Positions (direct):
Rb 0.250 0.750 0.500
Rb 0.750 0.250 0.500
Y 0.000 0.000 0.000
V 0.500 0.500 0.000
F 0.201 0.201 0.000
F 0.253 0.253 0.507
F 0.253 0.747 0.000
F 0.747 0.253 0.000
F 0.747 0.747 0.493
F 0.799 0.799 0.000